A plane-wave DFT calculation with PBE-GGA was carried out for crystalline Nb at its relaxed geometry.

## Properties
Calculated density ... 8.19 g/cm3
Formation enthalpy at 0 K ... 301 meV/atom
DFT total energy ... -9.769 eV/atom
Energy above the most stable polymorph in this dataset ... 301.2 meV per atom

abc: 4.223 4.223 4.223
angles: 90.00 90.00 90.00
Space group Fm-3m (No. 225)
Inequivalent atoms, fractional coordinates:
1 Nb 0.000 0.000 0.000

***

A plane-wave DFT calculation with PBE-GGA was carried out for crystalline YBe2Si at its relaxed geometry.

## Properties
Calculated density ... 3.67 g/cm3
Formation energy from raw total energies ... 124 meV/atom
DFT total energy ... -4.711 eV/atom

abc: 3.153 3.153 6.139
angles: 90.00 90.00 90.00
Space group P4/mmm (No. 123)
Inequivalent atoms, fractional coordinates:
1 Y 0.000 0.000 0.000
2 Be 0.500 0.500 0.324
3 Si 0.000 0.000 0.500

***

A plane-wave DFT calculation with PBE-GGA was carried out for crystalline MnAlAu3 at its relaxed geometry.

## Properties
Calculated density ... 13.38 g/cm3
Formation enthalpy at 0 K ... -222 meV/atom
DFT total energy ... -4.771 eV/atom
Energy above the most stable polymorph in this dataset ... 0.0 meV per atom

abc: 4.751 4.763 7.730
angles: 72.71 89.90 89.73
Space group P-1 (No. 2)
Inequivalent atoms, fractional coordinates:
1 Mn 0.250 0.129 0.202
2 Al 0.250 0.333 0.796
3 Au 0.249 0.726 0.000
4 Au 0.250 0.541 0.387
5 Au 0.250 0.930 0.613

***

no.,calculated volume (Å³ per cell)
1,75.31
2,61.03
3,167.02